TeRhSe2 | the Alexandria database | PBE-GGA | relaxed; mass density = 7.22 g cm⁻³; uncorrected formation energy = 0 kJ per mole of atoms; total moment = 0.0 μB/cell; final energy = -0.321 Ry/atom; N(E_F) = 2.42 states/eV/cell
1.0
-1.7707 2.1760 5.7949
1.7707 -2.1760 5.7949
1.7707 2.1760 -5.7949
Te Rh Se
1 1 2
direct
0.0000 0.0000 0.0000
0.8245 0.3245 0.5000
0.3362 0.8362 0.5000
0.6668 0.6668 0.0000